Density functional theory data (PBE-GGA) for Pm2Ga6Au after structural relaxation.

The structure belongs to space group P-3m1 (No. 164); the cell edges are 5.9837, 5.9837 and 5.7936 Å and the angles 90.00°, 90.00° and 120.00°. The distinct sites, in fractional coordinates, are Pm at (0.3333, 0.6667, 0.3538), Ga at (0.1801, 0.3602, 0.8325) and Au at (0.0000, 0.0000, 0.5000).

The formation energy is -556 meV/atom. The calculation puts the magnetic moment at 0.00 μB per formula unit. The calculated density comes out at 8.368 Mg/m³.